Pm3Al5Pd6: relaxed, GGA-PBE.

Lattice parameters (Å, degrees): 4.414 13.159 9.148 90.00 90.00 90.00
Space group Pmmn (No. 59, origin choice 2)
Unique sites:
Pm  0.250  0.052  0.249 (multiplicity 4)
Pm  0.250  0.750  0.268 (multiplicity 2)
Al  0.250  0.087  0.608 (multiplicity 4)
Al  0.250  0.632  0.973 (multiplicity 4)
Al  0.250  0.750  0.721 (multiplicity 2)
Pd  0.250  0.068  0.894 (multiplicity 4)
Pd  0.250  0.250  0.074 (multiplicity 2)
Pd  0.250  0.250  0.450 (multiplicity 2)
Pd  0.250  0.606  0.530 (multiplicity 4)

Values from the calculation:
Formation enthalpy at 0 K, eV/atom: -0.83


CuRe2Au: relaxed, GGA-PBE.

Lattice parameters (Å, degrees): 9.053 2.706 4.978 90.00 97.31 90.00
Space group Cm (No. 8)
Unique sites:
Cu  0.000  0.000  0.000 (multiplicity 2)
Re  0.000  0.500  0.525 (multiplicity 2)
Re  0.255  0.000  0.725 (multiplicity 2)
Au  0.250  0.500  0.217 (multiplicity 2)

Values from the calculation:
Formation enthalpy at 0 K, eV/atom: 0.39
Distance to the lowest polymorph of the same formula, eV per atom: 0.209


KRuI2: relaxed, GGA-PBE.

Lattice parameters (Å, degrees): 7.211 7.211 12.493 90.00 90.00 90.00
Space group I-42d (No. 122)
Unique sites:
K  0.000  0.000  0.000 (multiplicity 4)
Ru  0.000  0.000  0.500 (multiplicity 4)
I  0.150  0.250  0.625 (multiplicity 8)

Values from the calculation:
Uncorrected formation energy, meV per atom: -55.2
Distance to the lowest polymorph of the same formula, eV per atom: 0.000


How do the records compare in final energy? In the order shown, they have -5.406; -7.682; -3.424 eV per atom.
How do the records compare in magnetization? In the order shown, they have 0.0; 0.0; 0.0 Bohr magnetons per cell.